Compound: PaNiBi2O6
Source: Alexandria
Functional: PBE with a Hubbard U
Structure: relaxed

Calculated values
The calculation puts the energy at -6.79 eV/atom. For the volume, the calculation gives 170.7 Å³/cell. Its space group is No. 1.

a = 5.840 Å, b = 6.176 Å, c = 7.406 Å
α = 45.28°, β = 67.03°, γ = 65.46°
Each line ends with the local moment (μB).
Element x y z (fractional)
Pa  0.816  0.862  0.503  0.00
Ni  0.385  0.289  0.115  1.07
Bi  0.475  0.511  0.496  0.00
Bi  0.078  0.893  0.915  -0.04
O  0.552  0.304  0.303  0.00
O  0.191  0.978  0.279  0.01
O  0.786  0.815  0.238  0.00
O  0.500  0.628  0.739  0.00
O  0.814  0.990  0.719  0.00
O  0.065  0.391  0.708  -0.01